RbTmTe3Pb (PBE, relaxed); space-group type = P2_1/m; spin magnetization = 0.00 μB/f.u.
1.0
-1.282 4.176 0.956
-8.057 -1.338 -4.957
-1.955 -3.221 11.452
Rb Tm Te Pb
2 2 6 2
direct
0.250 0.211 0.251
0.750 0.789 0.749
0.250 0.632 0.151
0.750 0.368 0.849
0.750 0.871 0.195
0.250 0.129 0.805
0.250 0.635 0.412
0.750 0.365 0.588
0.750 0.402 0.107
0.250 0.598 0.893
0.250 0.144 0.563
0.750 0.856 0.437

=====

RbTm2Te6Pb3 (PBE, relaxed); space-group type = C2/m; spin magnetization = 0.00 μB/f.u.
1.0
4.426 0.000 0.000
0.000 9.864 0.718
-2.213 -2.457 9.589
Rb Tm Te Pb
1 2 6 3
direct
0.500 0.000 0.000
0.829 0.665 0.658
0.171 0.335 0.342
0.317 0.877 0.633
0.670 0.560 0.339
0.683 0.123 0.367
0.018 0.277 0.036
0.982 0.723 0.964
0.330 0.440 0.661
0.500 0.500 0.000
0.842 0.174 0.684
0.158 0.826 0.316

=====

How do the records compare in energy relative to the elements, uncorrected? In the order shown, they have -0.98; -0.78 eV/atom.